Compound: PrLu2Al7Ag2
Source: OQMD
Functional: PBE
Structure: relaxed

a = 9.331 Å, b = 9.331 Å, c = 9.331 Å
α = 34.59°, β = 34.59°, γ = 34.59°
Sites, in units of the cell vectors:
Pr  0.000  0.000  0.000
Lu  0.142  0.142  0.142
Lu  0.858  0.858  0.858
Al  0.077  0.589  0.589
Al  0.411  0.411  0.923
Al  0.411  0.923  0.411
Al  0.500  0.500  0.500
Al  0.589  0.077  0.589
Al  0.589  0.589  0.077
Al  0.923  0.411  0.411
Ag  0.336  0.336  0.336
Ag  0.664  0.664  0.664

Computed properties:
**Electronic total energy**: -4.26 eV/atom